A relaxed Rb3CuI4 crystal. Source: Alexandria, functional PBE-GGA.

Lattice parameters (Å, degrees): 8.714 9.528 10.952 90.00 90.00 90.00
Each line ends with the local moment (μB).
Atoms (fractional coordinates):
Rb1 0.512 0.868 0.000  0.00
Rb2 0.005 0.672 0.240  0.00
Rb3 0.505 0.328 0.260  0.00
Rb4 0.012 0.132 0.500  0.00
Rb5 0.505 0.328 0.740  0.00
Rb6 0.005 0.672 0.760  0.00
Cu1 0.003 0.182 0.000  0.14
Cu2 0.503 0.818 0.500  0.14
I1 0.097 0.915 0.000  0.01
I2 0.700 0.200 0.000  0.01
I3 0.097 0.305 0.207  0.01
I4 0.597 0.695 0.293  0.01
I5 0.200 0.800 0.500  0.01
I6 0.597 0.085 0.500  0.01
I7 0.597 0.695 0.707  0.01
I8 0.097 0.305 0.793  0.01

* energy relative to the elements, uncorrected: -1.067 eV/atom

***

A relaxed SiMo2 crystal. Source: Alexandria, functional PBE-GGA.

Lattice parameters (Å, degrees): 12.520 12.520 12.520 162.41 162.41 24.97
Atoms (fractional coordinates):
Mo1 0.753 0.753 0.000
Mo2 0.247 0.247 0.000
Mo3 0.003 0.503 0.500
Mo4 0.497 0.997 0.500
Mo5 0.588 0.588 0.000
Mo6 0.412 0.412 0.000
Mo7 0.838 0.338 0.500
Mo8 0.662 0.162 0.500
Si1 0.921 0.921 0.000
Si2 0.079 0.079 0.000
Si3 0.171 0.671 0.500
Si4 0.329 0.829 0.500

* energy relative to the elements, uncorrected: -0.001 eV/atom

***

A relaxed CdPbSe2 crystal. Source: Alexandria, functional PBE-GGA.

Lattice parameters (Å, degrees): 7.658 7.658 7.658 151.09 150.30 41.92
Atoms (fractional coordinates):
Cd1 0.542 0.542 0.000
Pb1 0.295 0.795 0.500
Se1 0.967 0.967 0.000
Se2 0.696 0.196 0.500

* energy relative to the elements, uncorrected: -0.369 eV/atom

***

no.,total magnetic moment (μB per atom),E (eV for the cell shown)
1,0.02,-43.5
2,0.00,-108.4
3,0.00,-13.1